Ba2FeGeO: relaxed, PBE+U.

Structure (CIF):
```
data_Ba2FeGeO
_cell_length_a 6.295
_cell_length_b 6.295
_cell_length_c 3.667
_cell_angle_alpha 90.00
_cell_angle_beta 90.00
_cell_angle_gamma 90.00
_space_group_name_H-M_alt 'P 1'
_space_group_IT_number 1
_space_group_name_Hall 'P 1'
loop_
_atom_site_label
_atom_site_fract_x
_atom_site_fract_y
_atom_site_fract_z
_atom_site_occupancy
Ba1 0.000 0.500 0.000 1
Ba2 0.500 0.000 0.000 1
Fe1 0.000 0.000 0.000 1
Ge1 0.500 0.500 0.500 1
O1 0.000 0.000 0.500 1
```

final energy: -21.5 eV for the cell shown
Fermi-level density of states: 0.27 states/eV per atom
offset from the most stable computed form: 0.000 eV per atom